1.
DyTlHg: relaxed, PBE.

Cell and atoms, written as POSCAR:
```
DyTlHg
1.0
5.254 0.000 0.000
-2.627 4.550 0.000
0.000 0.000 6.474
Dy Tl Hg
2 2 2
Direct
0.333 0.667 0.250
0.667 0.333 0.750
0.000 0.000 0.000
0.000 0.000 0.500
0.333 0.667 0.750
0.667 0.333 0.250
```

## Properties
DFT total energy   -16.6 eV for the cell shown
Volume   155 Å³/cell
Calculated formation energy   -1.01 eV per formula unit
DOS(E_F)   4.2 states/eV/cell
Space group   P6_3/mmc, No. 194

---

2.
Sm3BiSe: relaxed, PBE.

Cell and atoms, written as POSCAR:
```
Sm3BiSe
1.0
7.352 0.000 0.000
0.000 4.317 0.000
-1.863 0.000 10.914
Sm Bi Se
6 2 2
Direct
0.174 0.250 0.424
0.247 0.750 0.082
0.314 0.750 0.746
0.686 0.250 0.254
0.753 0.250 0.918
0.826 0.750 0.576
0.453 0.750 0.356
0.547 0.250 0.644
0.017 0.250 0.152
0.983 0.750 0.848
```

## Properties
DFT total energy   -50.8 eV for the cell shown
Volume   346 Å³/cell
DOS(E_F)   9.2 states/eV/cell
Space group   P2_1/m, No. 11
ΔE_f (raw)   -376 kJ/mol of formula units

---

3.
Nd2Si3Ir3: relaxed, PBE.

Cell and atoms, written as POSCAR:
```
Nd2Si3Ir3
1.0
2.848 0.000 0.000
0.000 2.848 0.000
0.000 0.000 20.387
Nd Si Ir
2 3 3
Direct
0.000 0.000 0.244
0.000 0.000 0.756
0.000 0.000 0.000
0.000 0.000 0.387
0.000 0.000 0.613
0.000 0.000 0.110
0.000 0.000 0.500
0.000 0.000 0.890
```

## Properties
DFT total energy   -46.6 eV for the cell shown
Volume   165 Å³/cell
DOS(E_F)   7.9 states/eV/cell
Space group   P4/mmm, No. 123
ΔE_f (raw)   561 kJ/mol of formula units

---

4.
La12Nd2Dy5: relaxed, PBE.

Cell and atoms, written as POSCAR:
```
La12Nd2Dy5
1.0
6.661 -5.934 0.000
6.661 5.934 0.000
-4.309 0.000 8.542
La Nd Dy
12 2 5
Direct
0.031 0.547 0.690
0.066 0.066 0.273
0.132 0.658 0.092
0.342 0.868 0.908
0.397 0.397 0.574
0.453 0.969 0.310
0.547 0.031 0.690
0.603 0.603 0.426
0.658 0.132 0.092
0.868 0.342 0.908
0.934 0.934 0.727
0.969 0.453 0.310
0.215 0.785 0.500
0.785 0.215 0.500
0.195 0.195 0.733
0.286 0.286 0.142
0.500 0.500 0.000
0.714 0.714 0.858
0.805 0.805 0.267
```

## Properties
DFT total energy   -89.8 eV for the cell shown
Volume   675 Å³/cell
Calculated formation energy   1.90 eV per formula unit
DOS(E_F)   29.8 states/eV/cell
Space group   C2/m, No. 12

---

5.
AcInBi: relaxed, PBE.

Cell and atoms, written as POSCAR:
```
AcInBi
1.0
4.140 0.000 0.000
0.000 4.140 0.000
0.000 0.000 11.642
Ac In Bi
2 2 2
Direct
0.000 0.000 0.000
0.500 0.500 0.500
0.000 0.000 0.687
0.500 0.500 0.187
0.000 0.000 0.311
0.500 0.500 0.811
```

## Properties
DFT total energy   -23.9 eV for the cell shown
Volume   200 Å³/cell
Calculated formation energy   -1.20 eV per formula unit
DOS(E_F)   6.8 states/eV/cell
Space group   I4mm, No. 107

---

6.
NbNi2W: relaxed, PBE.

Cell and atoms, written as POSCAR:
```
NbNi2W
1.0
3.826 0.000 0.000
0.000 3.826 0.000
0.000 0.000 3.804
Nb Ni W
1 2 1
Direct
0.000 0.000 0.000
0.000 0.500 0.500
0.500 0.000 0.500
0.500 0.500 0.000
```

## Properties
DFT total energy   -34.8 eV for the cell shown
Volume   56 Å³/cell
Calculated formation energy   -0.19 eV per formula unit
DOS(E_F)   3.3 states/eV/cell
Space group   P4/mmm, No. 123

---

7.
SiNi2Ir: relaxed, PBE.

Cell and atoms, written as POSCAR:
```
SiNi2Ir
1.0
8.730 0.000 0.000
0.000 2.763 0.000
-1.511 0.000 4.014
Si Ni Ir
2 4 2
Direct
0.000 0.000 0.000
0.500 0.500 0.000
0.025 0.500 0.504
0.284 0.000 0.678
0.525 0.000 0.504
0.784 0.500 0.678
0.244 0.500 0.152
0.744 0.000 0.152
```

## Properties
DFT total energy   -54.3 eV for the cell shown
Volume   97 Å³/cell
DOS(E_F)   7.9 states/eV/cell
Space group   Cm, No. 8
ΔE_f (raw)   -127 kJ/mol of formula units

---

8.
BaPd3Au: relaxed, PBE.

Cell and atoms, written as POSCAR:
```
BaPd3Au
1.0
5.095 0.000 0.000
0.000 5.095 0.000
0.000 0.000 5.095
Ba Pd Au
1 3 1
Direct
0.000 0.000 0.000
0.000 0.500 0.500
0.500 0.000 0.500
0.500 0.500 0.000
0.500 0.500 0.500
```

## Properties
DFT total energy   -20.5 eV for the cell shown
Volume   132 Å³/cell
Calculated formation energy   0.32 eV per formula unit
DOS(E_F)   3.4 states/eV/cell
Space group   Pm-3m, No. 221

---

9.
Sr2ZnPt3: relaxed, PBE.

Cell and atoms, written as POSCAR:
```
Sr2ZnPt3
1.0
4.406 0.000 0.000
0.000 5.694 0.000
0.000 0.000 11.615
Sr Zn Pt
4 2 6
Direct
0.000 0.000 0.182
0.000 0.000 0.818
0.500 0.500 0.318
0.500 0.500 0.682
0.000 0.000 0.500
0.500 0.500 0.000
0.000 0.500 0.116
0.000 0.500 0.500
0.000 0.500 0.884
0.500 0.000 0.000
0.500 0.000 0.384
0.500 0.000 0.616
```

## Properties
DFT total energy   -50.4 eV for the cell shown
Volume   291 Å³/cell
Calculated formation energy   -2.42 eV per formula unit
DOS(E_F)   6.2 states/eV/cell
Space group   Immm, No. 71

---

10.
MnSiH3: relaxed, PBE.

Cell and atoms, written as POSCAR:
```
MnSiH3
1.0
3.361 0.000 0.000
0.000 3.361 0.000
0.000 0.000 3.361
Mn Si H
1 1 3
Direct
0.000 0.000 0.000
0.500 0.500 0.500
0.000 0.000 0.500
0.000 0.500 0.000
0.500 0.000 0.000
```

## Properties
DFT total energy   -22.5 eV for the cell shown
Volume   38 Å³/cell
DOS(E_F)   1.5 states/eV/cell
Space group   Pm-3m, No. 221

---

11.
GdPuCo2: relaxed, PBE.

Cell and atoms, written as POSCAR:
```
GdPuCo2
1.0
4.733 0.000 0.000
0.000 4.733 0.000
0.000 0.000 3.330
Gd Pu Co
1 1 2
Direct
0.000 0.000 0.000
0.500 0.500 0.000
0.000 0.500 0.500
0.500 0.000 0.500
```

## Properties
DFT total energy   -42.6 eV for the cell shown
Volume   75 Å³/cell
Calculated formation energy   0.00 eV per formula unit
DOS(E_F)   9.2 states/eV/cell
Space group   P4/mmm, No. 123

---

12.
HgTe2Br: relaxed, PBE.

Cell and atoms, written as POSCAR:
```
HgTe2Br
1.0
3.768 0.000 0.000
0.000 4.108 0.000
-1.472 0.000 8.586
Hg Te Br
1 2 1
Direct
0.000 0.000 0.000
0.640 0.000 0.490
0.741 0.500 0.724
0.501 0.500 0.212
```

## Properties
DFT total energy   -8.5 eV for the cell shown
Volume   133 Å³/cell
DOS(E_F)   2.1 states/eV/cell
Space group   Pm, No. 6
ΔE_f (raw)   -24 kJ/mol of formula units

---

13.
Li2Pd3Au6: relaxed, PBE.

Cell and atoms, written as POSCAR:
```
Li2Pd3Au6
1.0
4.079 0.000 0.000
2.033 4.299 0.000
0.120 2.020 10.949
Li Pd Au
2 3 6
Direct
0.027 0.459 0.233
0.973 0.541 0.767
0.000 0.500 0.500
0.296 0.892 0.828
0.704 0.108 0.172
0.323 0.849 0.585
0.355 0.797 0.323
0.376 0.764 0.072
0.624 0.236 0.928
0.645 0.203 0.677
0.677 0.151 0.415
```

## Properties
DFT total energy   -41.3 eV for the cell shown
Volume   192 Å³/cell
Calculated formation energy   -2.24 eV per formula unit
DOS(E_F)   4.0 states/eV/cell
Space group   P-1, No. 2

---

14.
YTe2Se: relaxed, PBE.

Cell and atoms, written as POSCAR:
```
YTe2Se
1.0
4.066 0.000 0.000
0.000 4.111 0.000
0.000 0.000 15.659
Y Te Se
2 4 2
Direct
0.000 0.000 0.000
0.500 0.500 0.500
0.000 0.000 0.578
0.000 0.500 0.839
0.500 0.000 0.339
0.500 0.500 0.078
0.000 0.500 0.353
0.500 0.000 0.853
```

## Properties
DFT total energy   -39.9 eV for the cell shown
Volume   262 Å³/cell
DOS(E_F)   2.2 states/eV/cell
Space group   Imm2, No. 44
ΔE_f (raw)   -359 kJ/mol of formula units

---

15.
FeAsPC: relaxed, PBE.

Cell and atoms, written as POSCAR:
```
FeAsPC
1.0
2.892 0.000 0.000
-1.355 3.435 0.000
-1.284 -0.863 5.256
Fe As P C
1 1 1 1
Direct
0.000 0.000 0.000
0.450 0.647 0.249
0.103 0.477 0.768
0.611 0.627 0.626
```

## Properties
DFT total energy   -26.4 eV for the cell shown
Volume   52 Å³/cell
Calculated formation energy   1.38 eV per formula unit
Space group   P1, No. 1

---

16.
LiZr2Be2Rh5: relaxed, PBE.

Cell and atoms, written as POSCAR:
```
LiZr2Be2Rh5
1.0
9.301 0.000 0.000
0.000 9.301 0.000
0.000 0.000 3.231
Li Zr Be Rh
2 4 4 10
Direct
0.000 0.000 0.000
0.500 0.500 0.000
0.176 0.324 0.000
0.324 0.824 0.000
0.676 0.176 0.000
0.824 0.676 0.000
0.125 0.625 0.000
0.375 0.125 0.000
0.625 0.875 0.000
0.875 0.375 0.000
0.000 0.500 0.500
0.070 0.791 0.500
0.209 0.070 0.500
0.291 0.570 0.500
0.430 0.291 0.500
0.500 0.000 0.500
0.570 0.709 0.500
0.709 0.430 0.500
0.791 0.930 0.500
0.930 0.209 0.500
```

## Properties
DFT total energy   -140.3 eV for the cell shown
Volume   280 Å³/cell
Calculated formation energy   -6.92 eV per formula unit
DOS(E_F)   9.2 states/eV/cell
Space group   P4/mbm, No. 127

---

17.
CeY6Tm10: relaxed, PBE.

Cell and atoms, written as POSCAR:
```
CeY6Tm10
1.0
9.571 0.000 0.000
-4.786 8.289 0.000
0.000 0.000 6.764
Ce Y Tm
1 6 10
Direct
0.000 0.000 0.000
0.000 0.377 0.197
0.000 0.623 0.803
0.377 0.000 0.197
0.377 0.377 0.803
0.623 0.000 0.803
0.623 0.623 0.197
0.000 0.274 0.680
0.000 0.726 0.320
0.274 0.000 0.680
0.274 0.274 0.320
0.333 0.667 0.000
0.333 0.667 0.500
0.667 0.333 0.000
0.667 0.333 0.500
0.726 0.000 0.320
0.726 0.726 0.680
```

## Properties
DFT total energy   -86.8 eV for the cell shown
Volume   537 Å³/cell
Calculated formation energy   2.66 eV per formula unit
DOS(E_F)   28.6 states/eV/cell
Space group   P-31m, No. 162